*P*
First-principles (GGA-PBE) data for an optimized crystal structure of BeNbSe2N, as listed in Alexandria.

- total moment (μB per formula unit) = 0.0
- N(E_F) (states/eV/atom) = 0.583

Geometry as CIF:
```
data_BeNbSe2N
_chemical_formula_sum 'Be1 Nb1 Se2 N1'
_symmetry_space_group_name_H-M 'P 4/m m m'
_symmetry_Int_Tables_number 123
_symmetry_space_group_name_Hall '-P 4 2'
_cell_length_a 4.839
_cell_length_b 4.839
_cell_length_c 3.155
_cell_angle_alpha 90.00
_cell_angle_beta 90.00
_cell_angle_gamma 90.00
loop_
_atom_site_label
_atom_site_type_symbol
_atom_site_fract_x
_atom_site_fract_y
_atom_site_fract_z
_atom_site_occupancy
Be1 Be 0.000 0.000 0.000 1
Nb1 Nb 0.500 0.500 0.500 1
Se1 Se 0.000 0.500 0.000 1
N1 N 0.000 0.000 0.500 1
```

=====

*Q*
First-principles (GGA-PBE) data for an optimized crystal structure of BeNbSe2N, as listed in Alexandria.

- total moment (μB per formula unit) = 0.0
- N(E_F) (states/eV/atom) = 0.580

Geometry as CIF:
```
data_BeNbSe2N
_chemical_formula_sum 'Be1 Nb1 Se2 N1'
_symmetry_space_group_name_H-M 'P 4/m m m'
_symmetry_Int_Tables_number 123
_symmetry_space_group_name_Hall '-P 4 2'
_cell_length_a 5.167
_cell_length_b 5.167
_cell_length_c 3.864
_cell_angle_alpha 90.00
_cell_angle_beta 90.00
_cell_angle_gamma 90.00
loop_
_atom_site_label
_atom_site_type_symbol
_atom_site_fract_x
_atom_site_fract_y
_atom_site_fract_z
_atom_site_occupancy
Be1 Be 0.000 0.000 0.000 1
Nb1 Nb 0.500 0.500 0.500 1
Se1 Se 0.000 0.500 0.500 1
N1 N 0.500 0.500 0.000 1
```

=====

Stability ranking, top entry: *P*; the second entry is 121 meV/atom less favorable.

=====

*P*
First-principles (GGA-PBE) data for an optimized crystal structure of NdBeN, as listed in Alexandria.

- total moment (μB per formula unit) = 0.0
- N(E_F) (states/eV/atom) = 0.309

Geometry as CIF:
```
data_NdBeN
_chemical_formula_sum 'Nd4 Be4 N4'
_symmetry_space_group_name_H-M 'C 1 2/m 1'
_symmetry_Int_Tables_number 12
_cell_length_a 5.255
_cell_length_b 5.162
_cell_length_c 6.988
_cell_angle_alpha 90.00
_cell_angle_beta 98.03
_cell_angle_gamma 90.00
loop_
_symmetry_equiv_pos_as_xyz
'x,y,z'
'-x,-y,-z'
'-x,y,-z'
'x,-y,z'
'x+1/2,y+1/2,z'
'-x+1/2,-y+1/2,-z'
'-x+1/2,y+1/2,-z'
'x+1/2,-y+1/2,z'
loop_
_atom_site_label
_atom_site_type_symbol
_atom_site_fract_x
_atom_site_fract_y
_atom_site_fract_z
_atom_site_occupancy
Nd1 Nd 0.210 0.000 0.316 1
Be1 Be 0.162 0.500 0.106 1
N1 N 0.219 0.500 0.332 1
```

=====

*Q*
First-principles (GGA-PBE) data for an optimized crystal structure of NdBeN, as listed in Alexandria.

- total moment (μB per formula unit) = 0.0
- N(E_F) (states/eV/atom) = 0.328

Geometry as CIF:
```
data_NdBeN
_chemical_formula_sum 'Nd4 Be4 N4'
_symmetry_space_group_name_H-M 'C m c m'
_symmetry_Int_Tables_number 63
_symmetry_space_group_name_Hall '-C 2c 2'
_cell_length_a 3.655
_cell_length_b 13.499
_cell_length_c 3.730
_cell_angle_alpha 90.00
_cell_angle_beta 90.00
_cell_angle_gamma 90.00
loop_
_atom_site_label
_atom_site_type_symbol
_atom_site_fract_x
_atom_site_fract_y
_atom_site_fract_z
_atom_site_occupancy
Nd1 Nd 0.000 0.155 0.250 1
Be1 Be 0.000 0.452 0.250 1
N1 N 0.000 0.335 0.250 1
```

=====

Stability ranking, top entry: *Q*; the second entry is 71 meV/atom less favorable.

=====

*P*
First-principles (GGA-PBE) data for an optimized crystal structure of BeNiSN2, as listed in Alexandria.

- total moment (μB per formula unit) = 0.4
- N(E_F) (states/eV/atom) = 0.733

Geometry as CIF:
```
data_BeNiSN2
_chemical_formula_sum 'Be1 Ni1 S1 N2'
_symmetry_space_group_name_H-M 'P 4/m m m'
_symmetry_Int_Tables_number 123
_symmetry_space_group_name_Hall '-P 4 2'
_cell_length_a 3.182
_cell_length_b 3.182
_cell_length_c 6.934
_cell_angle_alpha 90.00
_cell_angle_beta 90.00
_cell_angle_gamma 90.00
loop_
_atom_site_label
_atom_site_type_symbol
_atom_site_fract_x
_atom_site_fract_y
_atom_site_fract_z
_atom_site_occupancy
Be1 Be 0.000 0.000 0.000 1
Ni1 Ni 0.500 0.500 0.500 1
S1 S 0.000 0.000 0.500 1
N1 N 0.000 0.500 0.000 1
```

=====

*Q*
First-principles (GGA-PBE) data for an optimized crystal structure of BeNiSN2, as listed in Alexandria.

- total moment (μB per formula unit) = 0.0
- N(E_F) (states/eV/atom) = 0.527

Geometry as CIF:
```
data_BeNiSN2
_chemical_formula_sum 'Be1 Ni1 S1 N2'
_symmetry_space_group_name_H-M 'P 4/m m m'
_symmetry_Int_Tables_number 123
_symmetry_space_group_name_Hall '-P 4 2'
_cell_length_a 3.398
_cell_length_b 3.398
_cell_length_c 7.460
_cell_angle_alpha 90.00
_cell_angle_beta 90.00
_cell_angle_gamma 90.00
loop_
_atom_site_label
_atom_site_type_symbol
_atom_site_fract_x
_atom_site_fract_y
_atom_site_fract_z
_atom_site_occupancy
Be1 Be 0.000 0.000 0.000 1
Ni1 Ni 0.500 0.500 0.500 1
S1 S 0.500 0.500 0.000 1
N1 N 0.000 0.500 0.500 1
```

=====

Stability ranking, top entry: *P*; the second entry is 124 meV/atom less favorable.